# 1
Density functional theory data (GGA-PBE) for a relaxed structure of GdGaMo. Values from VASP.

Output
The distance to the lowest polymorph of the same formula comes out at 0.00 eV per formula unit. Its symmetry is P3m1, No. 156. The value obtained for the mass density is 8.96 Mg/m³. As for the energy: -6.08 eV/atom. As for the total moment: 0.3 μB/f.u.

```
&SYSTEM
  ibrav = 0, nat = 9, ntyp = 3
/
ATOMIC_SPECIES
Ga 69.72 Ga.upf
Gd 157.25 Gd.upf
Mo 95.94 Mo.upf
CELL_PARAMETERS angstrom
-1.749 -3.965 2.391
3.641 -0.515 -3.313
5.732 1.163 6.120
ATOMIC_POSITIONS crystal
Ga 0.667 0.333 0.490
Gd 0.333 0.667 0.499
Gd 0.667 0.333 0.817
Mo 0.000 0.000 0.308
Ga 0.333 0.667 0.153
Ga 0.333 0.667 0.848
Mo 0.000 0.000 0.996
Gd 0.667 0.333 0.164
Mo 0.000 0.000 0.682
```


# 2
Density functional theory data (GGA-PBE) for a relaxed structure of GdGaMo. Values from VASP.

Output
The distance to the lowest polymorph of the same formula comes out at 0.73 eV per formula unit. Its symmetry is F-43m, No. 216. The value obtained for the mass density is 7.97 Mg/m³. As for the energy: -5.83 eV/atom. As for the total moment: 1.1 μB/f.u.

```
&SYSTEM
  ibrav = 0, nat = 3, ntyp = 3
/
ATOMIC_SPECIES
Mo 95.94 Mo.upf
Ga 69.72 Ga.upf
Gd 157.25 Gd.upf
CELL_PARAMETERS angstrom
-2.418 -0.924 3.761
-2.646 3.222 1.862
-4.545 -0.360 -0.239
ATOMIC_POSITIONS crystal
Mo 0.750 0.750 0.750
Ga 0.000 0.000 0.000
Gd 0.250 0.250 0.250
```


# 3
Density functional theory data (GGA-PBE) for a relaxed structure of GdGaNO. Values from VASP.

Output
The distance to the lowest polymorph of the same formula comes out at 0.60 eV per formula unit. Its symmetry is P4/nmm, No. 129. The value obtained for the mass density is 7.36 Mg/m³. As for the energy: -6.56 eV/atom. As for the total moment: 0.0 μB/f.u.

```
&SYSTEM
  ibrav = 0, nat = 8, ntyp = 4
/
ATOMIC_SPECIES
Ga 69.72 Ga.upf
O 16.00 O.upf
N 14.01 N.upf
Gd 157.25 Gd.upf
CELL_PARAMETERS angstrom
-3.623 1.284 0.757
0.425 -1.018 3.759
2.757 6.864 1.547
ATOMIC_POSITIONS crystal
Ga 0.500 0.500 0.500
Ga 0.000 0.000 0.500
O 0.500 0.500 0.000
N 0.000 0.500 0.623
Gd 0.500 0.000 0.852
N 0.500 0.000 0.377
Gd 0.000 0.500 0.148
O 0.000 0.000 0.000
```


# 4
Density functional theory data (GGA-PBE) for a relaxed structure of GdGaNO. Values from VASP.

Output
The distance to the lowest polymorph of the same formula comes out at 0.00 eV per formula unit. Its symmetry is Pmc2_1, No. 26. The value obtained for the mass density is 7.59 Mg/m³. As for the energy: -6.71 eV/atom. As for the total moment: 0.0 μB/f.u.

```
&SYSTEM
  ibrav = 0, nat = 8, ntyp = 4
/
ATOMIC_SPECIES
N 14.01 N.upf
O 16.00 O.upf
Ga 69.72 Ga.upf
Gd 157.25 Gd.upf
CELL_PARAMETERS angstrom
0.731 0.164 -4.104
3.848 3.142 0.811
3.322 -4.178 0.424
ATOMIC_POSITIONS crystal
N 0.000 0.451 0.706
O 0.500 0.860 0.878
Ga 0.500 0.976 0.237
Gd 0.000 0.466 0.271
N 0.000 0.951 0.294
O 0.500 0.360 0.122
Gd 0.000 0.966 0.729
Ga 0.500 0.476 0.763
```


The highest mass density belongs to which entry? number 1